Mg14InAg, optimized geometry, DFT PBE; space group = P4/mmm, No. 123; density of states at the Fermi level = 5.4 states/eV per cell; energy of formation = -0.0390 eV/atom
1.0
6.464 0.000 0.000
0.000 6.464 0.000
0.000 0.000 8.562
Mg In Ag
14 1 1
Cartesian
0.000 0.000 0.000
0.000 3.232 0.000
0.000 3.232 4.281
1.586 1.586 2.205
1.586 1.586 6.357
1.586 4.878 2.205
1.586 4.878 6.357
3.232 0.000 0.000
3.232 0.000 4.281
3.232 3.232 0.000
4.878 1.586 2.205
4.878 1.586 6.357
4.878 4.878 2.205
4.878 4.878 6.357
3.232 3.232 4.281
0.000 0.000 4.281

=====

La5DyBi6, optimized geometry, DFT PBE; space group = C2/m, No. 12; density of states at the Fermi level = 1.2 states/eV per cell; energy of formation = -1.0184 eV/atom
1.0
4.044 -7.005 0.000
4.044 7.005 0.000
-2.701 0.000 7.625
La Dy Bi
5 1 6
Cartesian
0.000 0.000 0.000
2.694 4.681 3.812
4.044 2.367 0.000
4.044 -2.367 0.000
2.694 -4.681 3.812
2.694 0.000 3.812
1.376 2.288 1.945
0.055 0.000 5.698
1.376 -2.288 1.945
4.012 2.288 5.680
5.333 0.000 1.926
4.012 -2.288 5.680

=====

Li2Ca3Ag4, optimized geometry, DFT PBE; space group = C2/m, No. 12; density of states at the Fermi level = 3.9 states/eV per cell; energy of formation = -0.2578 eV/atom
1.0
5.463 -2.235 0.000
5.463 2.235 0.000
-1.344 0.000 8.986
Li Ca Ag
2 3 4
Cartesian
1.598 0.000 2.552
7.984 0.000 6.434
0.164 0.000 7.944
4.791 0.000 4.493
9.418 0.000 1.042
1.637 0.000 5.275
3.350 0.000 7.765
6.232 0.000 1.221
7.946 0.000 3.711